No. 1
Compound: NaMnO2
Source: Alexandria via LeMat-Bulk
Functional: PBE with a Hubbard U
Structure: optimized geometry

* theoretical density: 2.755 Mg/m³
* DOS(E_F): 0.7102 states/eV per atom
* raw total energy: -22.13 eV/f.u.

Cell: 6.622 6.622 6.622 Å, 30.49 30.49 30.49°
Element x y z (fractional)
Na 0.000 0.000 0.000
Mn 0.500 0.500 0.500
O 0.407 0.407 0.407
O 0.593 0.593 0.593


No. 2
Compound: NaMnO2
Source: Alexandria via LeMat-Bulk
Functional: PBE with a Hubbard U
Structure: optimized geometry

* theoretical density: 4.073 Mg/m³
* raw total energy: -25.28 eV/f.u.

Cell: 6.489 6.489 6.489 Å, 124.25 124.25 82.78°
Element x y z (fractional)
Na 0.000 0.000 0.000
Na 0.000 0.000 0.500
Na 0.000 0.500 0.000
Na 0.500 0.000 0.500
Mn 0.000 0.500 0.500
Mn 0.500 0.000 0.000
Mn 0.500 0.500 0.000
Mn 0.500 0.500 0.500
O 0.253 0.291 0.538
O 0.253 0.714 0.962
O 0.286 0.747 0.538
O 0.291 0.253 0.038
O 0.709 0.747 0.962
O 0.714 0.253 0.462
O 0.747 0.286 0.038
O 0.747 0.709 0.462


No. 3
Compound: NaMn3O6
Source: Alexandria via LeMat-Bulk
Functional: PBE with a Hubbard U
Structure: optimized geometry

* theoretical density: 4.173 Mg/m³
* raw total energy: -68.04 eV/f.u.

Cell: 6.199 6.199 14.356 Å, 93.98 93.98 55.22°
Element x y z (fractional)
Na 0.143 0.294 0.432
Na 0.294 0.143 0.932
Na 0.706 0.857 0.068
Na 0.857 0.706 0.568
Mn 0.097 0.846 0.408
Mn 0.154 0.903 0.092
Mn 0.158 0.396 0.231
Mn 0.346 0.601 0.908
Mn 0.396 0.158 0.731
Mn 0.399 0.654 0.592
Mn 0.601 0.346 0.408
Mn 0.604 0.842 0.269
Mn 0.654 0.399 0.092
Mn 0.842 0.604 0.769
Mn 0.846 0.097 0.908
Mn 0.903 0.154 0.592
O 0.029 0.779 0.982
O 0.042 0.322 0.674
O 0.082 0.834 0.652
O 0.166 0.918 0.848
O 0.198 0.444 0.824
O 0.221 0.971 0.518
O 0.277 0.535 0.485
O 0.322 0.042 0.174
O 0.322 0.571 0.150
O 0.429 0.678 0.350
O 0.444 0.198 0.324
O 0.465 0.723 0.015
O 0.535 0.277 0.985
O 0.556 0.802 0.676
O 0.571 0.322 0.650
O 0.678 0.429 0.850
O 0.678 0.958 0.826
O 0.723 0.465 0.515
O 0.779 0.029 0.482
O 0.802 0.556 0.176
O 0.834 0.082 0.152
O 0.918 0.166 0.348
O 0.958 0.678 0.326
O 0.971 0.221 0.018


No. 4
Compound: Na5Mn7O16
Source: Alexandria via LeMat-Bulk
Functional: PBE with a Hubbard U
Structure: optimized geometry

* theoretical density: 3.812 Mg/m³
* DOS(E_F): 0.0080 states/eV per atom
* raw total energy: -180.50 eV/f.u.

Cell: 6.225 5.982 8.844 Å, 90.00 92.31 90.00°
Element x y z (fractional)
Na 0.000 0.000 0.000
Na 0.228 0.500 0.118
Na 0.233 0.000 0.373
Na 0.767 0.000 0.627
Na 0.772 0.500 0.882
Mn 0.000 0.500 0.500
Mn 0.275 0.249 0.749
Mn 0.275 0.751 0.749
Mn 0.500 0.000 0.000
Mn 0.500 0.500 0.500
Mn 0.725 0.249 0.251
Mn 0.725 0.751 0.251
O 0.073 0.500 0.746
O 0.085 0.000 0.735
O 0.258 0.291 0.521
O 0.258 0.709 0.521
O 0.289 0.229 0.960
O 0.289 0.771 0.960
O 0.487 0.500 0.722
O 0.488 0.000 0.772
O 0.512 0.000 0.228
O 0.513 0.500 0.278
O 0.711 0.229 0.040
O 0.711 0.771 0.040
O 0.742 0.291 0.479
O 0.742 0.709 0.479
O 0.915 0.000 0.265
O 0.927 0.500 0.254


No. 5
Compound: NaMnO2
Source: Alexandria via LeMat-Bulk
Functional: PBE with a Hubbard U
Structure: optimized geometry

* theoretical density: 3.795 Mg/m³
* raw total energy: -25.04 eV/f.u.

Cell: 5.825 2.886 11.477 Å, 90.00 94.29 90.00°
Element x y z (fractional)
Na 0.000 0.000 0.000
Na 0.056 0.500 0.492
Na 0.415 0.000 0.249
Na 0.578 0.000 0.765
Mn 0.077 0.500 0.733
Mn 0.502 0.000 0.007
Mn 0.564 0.000 0.513
Mn 0.905 0.500 0.257
O 0.081 0.000 0.336
O 0.202 0.000 0.828
O 0.325 0.500 0.075
O 0.427 0.500 0.601
O 0.645 0.500 0.409
O 0.666 0.500 0.930
O 0.766 0.000 0.165
O 0.916 0.000 0.643


No. 6
Compound: NaMnO2
Source: Alexandria via LeMat-Bulk
Functional: PBE with a Hubbard U
Structure: optimized geometry

* theoretical density: 4.016 Mg/m³
* DOS(E_F): 0.0000 states/eV per atom
* raw total energy: -25.37 eV/f.u.

Cell: 2.922 4.855 6.409 Å, 90.00 90.00 90.00°
Element x y z (fractional)
Na 0.250 0.250 0.124
Na 0.750 0.750 0.876
Mn 0.250 0.250 0.625
Mn 0.750 0.750 0.375
O 0.250 0.750 0.171
O 0.250 0.750 0.582
O 0.750 0.250 0.418
O 0.750 0.250 0.829


No. 7
Compound: NaMn3O6
Source: Alexandria via LeMat-Bulk
Functional: PBE with a Hubbard U
Structure: optimized geometry

* theoretical density: 4.190 Mg/m³
* DOS(E_F): 0.0535 states/eV per atom
* raw total energy: -68.42 eV/f.u.

Cell: 8.772 2.922 9.447 Å, 90.00 111.73 90.00°
Element x y z (fractional)
Na 0.147 0.250 0.444
Na 0.853 0.750 0.556
Mn 0.162 0.750 0.039
Mn 0.239 0.250 0.784
Mn 0.462 0.250 0.352
Mn 0.538 0.750 0.648
Mn 0.761 0.750 0.216
Mn 0.838 0.250 0.961
O 0.041 0.250 0.905
O 0.138 0.750 0.647
O 0.257 0.250 0.176
O 0.310 0.750 0.936
O 0.369 0.750 0.440
O 0.441 0.250 0.712
O 0.559 0.750 0.288
O 0.631 0.250 0.560
O 0.690 0.250 0.064
O 0.743 0.750 0.824
O 0.862 0.250 0.353
O 0.959 0.750 0.095


No. 8
Compound: NaMn4O6
Source: Alexandria via LeMat-Bulk
Functional: PBE with a Hubbard U
Structure: optimized geometry

* theoretical density: 4.305 Mg/m³
* DOS(E_F): 0.0014 states/eV per atom
* raw total energy: -77.26 eV/f.u.

Cell: 5.436 5.440 5.507 Å, 111.35 111.40 101.30°
Element x y z (fractional)
Na 0.000 0.000 0.000
Mn 0.096 0.458 0.790
Mn 0.458 0.101 0.792
Mn 0.507 0.511 0.538
Mn 0.748 0.751 0.264
O 0.183 0.185 0.506
O 0.345 0.347 0.064
O 0.504 0.826 0.954
O 0.610 0.921 0.545
O 0.824 0.507 0.954
O 0.918 0.611 0.543


No. 9
Compound: NaMn2O4
Source: Alexandria via LeMat-Bulk
Functional: PBE with a Hubbard U
Structure: optimized geometry

* theoretical density: 3.700 Mg/m³
* DOS(E_F): 0.0033 states/eV per atom
* raw total energy: -47.13 eV/f.u.

Cell: 5.792 11.459 5.325 Å, 90.00 90.00 90.00°
Element x y z (fractional)
Na 0.250 0.250 0.068
Na 0.250 0.750 0.311
Na 0.750 0.250 0.689
Na 0.750 0.750 0.932
Mn 0.000 0.000 0.500
Mn 0.000 0.500 0.500
Mn 0.250 0.504 0.995
Mn 0.250 0.996 0.995
Mn 0.500 0.000 0.500
Mn 0.500 0.500 0.500
Mn 0.750 0.004 0.005
Mn 0.750 0.496 0.005
O 0.001 0.096 0.870
O 0.001 0.404 0.870
O 0.250 0.079 0.317
O 0.250 0.421 0.317
O 0.250 0.584 0.668
O 0.250 0.916 0.668
O 0.499 0.096 0.870
O 0.499 0.404 0.870
O 0.501 0.596 0.130
O 0.501 0.904 0.130
O 0.750 0.084 0.332
O 0.750 0.416 0.332
O 0.750 0.579 0.683
O 0.750 0.921 0.683
O 0.999 0.596 0.130
O 0.999 0.904 0.130


No. 10
Compound: NaMnOs2O8
Source: Alexandria via LeMat-Bulk
Functional: PBE with a Hubbard U
Structure: optimized geometry

* theoretical density: 4.992 Mg/m³
* DOS(E_F): 0.6613 states/eV per atom
* raw total energy: -83.38 eV/f.u.

Cell: 8.718 8.718 8.718 Å, 35.04 35.04 35.04°
Element x y z (fractional)
Na 0.000 0.000 0.000
Mn 0.500 0.500 0.500
Os 0.248 0.248 0.248
Os 0.752 0.752 0.752
O 0.111 0.465 0.752
O 0.248 0.535 0.889
O 0.320 0.320 0.320
O 0.465 0.752 0.111
O 0.535 0.889 0.248
O 0.680 0.680 0.680
O 0.752 0.111 0.465
O 0.889 0.248 0.535


No. 11
Compound: NaMn2OsO8
Source: Alexandria via LeMat-Bulk
Functional: PBE with a Hubbard U
Structure: optimized geometry

* theoretical density: 5.639 Mg/m³
* DOS(E_F): 0.1937 states/eV per atom
* raw total energy: -80.75 eV/f.u.

Cell: 4.552 6.139 4.754 Å, 90.00 90.43 90.00°
Element x y z (fractional)
Na 0.000 0.000 0.000
Mn 0.500 0.244 0.500
Mn 0.500 0.756 0.500
Os 0.000 0.500 0.000
O 0.225 0.287 0.177
O 0.225 0.713 0.177
O 0.276 0.500 0.684
O 0.300 0.000 0.646
O 0.700 0.000 0.354
O 0.724 0.500 0.316
O 0.775 0.287 0.823
O 0.775 0.713 0.823


No. 12
Compound: Na2Mn2OsO6
Source: Alexandria via LeMat-Bulk
Functional: PBE with a Hubbard U
Structure: optimized geometry

* theoretical density: 5.186 Mg/m³
* DOS(E_F): 0.4364 states/eV per atom
* raw total energy: -74.18 eV/f.u.

Cell: 5.379 5.379 5.862 Å, 100.28 100.28 117.30°
Element x y z (fractional)
Na 0.175 0.825 0.000
Na 0.825 0.175 0.000
Mn 0.335 0.665 0.500
Mn 0.665 0.335 0.500
Os 0.000 0.000 0.500
O 0.051 0.369 0.702
O 0.238 0.238 0.317
O 0.369 0.051 0.702
O 0.631 0.949 0.298
O 0.762 0.762 0.683
O 0.949 0.631 0.298


No. 13
Compound: Na3Mn3PO8
Source: Alexandria via LeMat-Bulk
Functional: PBE with a Hubbard U
Structure: optimized geometry

* theoretical density: 4.046 Mg/m³
* raw total energy: -93.55 eV/f.u.

Cell: 5.826 5.826 6.387 Å, 116.82 116.82 60.73°
Element x y z (fractional)
Na 0.000 0.000 0.000
Na 0.000 0.500 0.000
Na 0.500 0.000 0.000
Mn 0.000 0.500 0.500
Mn 0.500 0.000 0.500
Mn 0.500 0.500 0.500
P 0.000 0.000 0.500
O 0.197 0.773 0.678
O 0.208 0.208 0.680
O 0.227 0.803 0.322
O 0.263 0.263 0.309
O 0.737 0.737 0.691
O 0.773 0.197 0.678
O 0.792 0.792 0.320
O 0.803 0.227 0.322


No. 14
Compound: Na4Mn3P4O15
Source: Alexandria via LeMat-Bulk
Functional: PBE with a Hubbard U
Structure: optimized geometry

* theoretical density: 3.070 Mg/m³
* DOS(E_F): 0.0000 states/eV per atom
* raw total energy: -180.63 eV/f.u.

Cell: 18.325 10.895 6.726 Å, 90.00 90.00 90.00°
Element x y z (fractional)
Na 0.007 0.020 0.000
Na 0.036 0.456 0.134
Na 0.101 0.727 0.375
Na 0.206 0.254 0.971
Na 0.294 0.754 0.471
Na 0.399 0.227 0.875
Na 0.464 0.956 0.634
Na 0.493 0.520 0.500
Na 0.507 0.480 0.000
Na 0.536 0.044 0.134
Na 0.601 0.773 0.375
Na 0.706 0.246 0.971
Na 0.794 0.746 0.471
Na 0.899 0.273 0.875
Na 0.964 0.544 0.634
Na 0.993 0.980 0.500
Mn 0.140 0.011 0.722
Mn 0.163 0.497 0.710
Mn 0.240 0.757 0.989
Mn 0.260 0.257 0.489
Mn 0.337 0.997 0.210
Mn 0.360 0.511 0.222
Mn 0.640 0.489 0.722
Mn 0.663 0.003 0.710
Mn 0.740 0.743 0.989
Mn 0.760 0.243 0.489
Mn 0.837 0.503 0.210
Mn 0.860 0.989 0.222
P 0.052 0.272 0.664
P 0.064 0.743 0.856
P 0.178 0.015 0.229
P 0.202 0.496 0.218
P 0.298 0.996 0.718
P 0.322 0.515 0.729
P 0.436 0.243 0.356
P 0.448 0.772 0.164
P 0.552 0.228 0.664
P 0.564 0.757 0.856
P 0.678 0.485 0.229
P 0.702 0.004 0.218
P 0.798 0.504 0.718
P 0.822 0.985 0.729
P 0.936 0.257 0.356
P 0.948 0.728 0.164
O 0.012 0.362 0.800
O 0.017 0.295 0.439
O 0.039 0.136 0.715
O 0.055 0.868 0.754
O 0.080 0.641 0.702
O 0.118 0.744 0.027
O 0.126 0.995 0.406
O 0.134 0.302 0.647
O 0.135 0.045 0.038
O 0.150 0.518 0.392
O 0.158 0.465 0.029
O 0.228 0.898 0.209
O 0.235 0.122 0.260
O 0.242 0.888 0.753
O 0.247 0.112 0.698
O 0.253 0.612 0.198
O 0.258 0.388 0.253
O 0.265 0.622 0.760
O 0.272 0.398 0.709
O 0.342 0.965 0.529
O 0.350 0.018 0.892
O 0.365 0.545 0.538
O 0.366 0.802 0.147
O 0.374 0.495 0.906
O 0.382 0.244 0.527
O 0.420 0.141 0.202
O 0.445 0.368 0.254
O 0.461 0.636 0.215
O 0.483 0.795 0.939
O 0.488 0.862 0.300
O 0.512 0.138 0.800
O 0.517 0.205 0.439
O 0.539 0.364 0.715
O 0.555 0.632 0.754
O 0.580 0.859 0.702
O 0.618 0.756 0.027
O 0.626 0.505 0.406
O 0.634 0.198 0.647
O 0.635 0.455 0.038
O 0.650 0.982 0.392
O 0.658 0.035 0.029
O 0.728 0.602 0.209
O 0.735 0.378 0.260
O 0.742 0.612 0.753
O 0.747 0.388 0.698
O 0.753 0.888 0.198
O 0.758 0.112 0.253
O 0.765 0.878 0.760
O 0.772 0.102 0.709
O 0.842 0.535 0.529
O 0.850 0.482 0.892
O 0.865 0.955 0.538
O 0.866 0.698 0.147
O 0.874 0.005 0.906
O 0.882 0.256 0.527
O 0.920 0.359 0.202
O 0.945 0.132 0.254
O 0.961 0.864 0.215
O 0.983 0.705 0.939
O 0.988 0.638 0.300